Entry 1:
Ce4GeAs | PBE | relaxed

Computed properties:
The value obtained for the calculated density is 7.45 Mg/m³. The electronic total energy comes out at -6.09 eV/atom. The calculation puts the density of states at the Fermi level at 75.1 states/eV per cell. Its energy of formation is -590 meV per atom.

Cell lengths 18.471, 5.103, 7.270 Å; angles 90.00, 112.96, 90.00 degrees
Space group C2/c (No. 15)
One atom of each set of equivalent atoms:
1 Ce 0.078 0.248 0.465 (multiplicity 8)
2 Ce 0.172 0.249 0.057 (multiplicity 8)
3 Ge 0.250 0.250 0.500 (multiplicity 4)
4 As 0.000 0.252 0.750 (multiplicity 4)

***

Entry 2:
Ce7Ge5As | PBE | relaxed

Computed properties:
The value obtained for the calculated density is 7.03 Mg/m³. The electronic total energy comes out at -5.91 eV/atom. The calculation puts the density of states at the Fermi level at 63.9 states/eV per cell. Its energy of formation is -579 meV per atom.

Cell lengths 6.182, 10.728, 10.106 Å; angles 90.00, 90.00, 90.00 degrees
Space group Imm2 (No. 44)
One atom of each set of equivalent atoms:
1 Ce 0.000 0.000 0.000 (multiplicity 2)
2 Ce 0.000 0.000 0.413 (multiplicity 2)
3 Ce 0.000 0.290 0.703 (multiplicity 4)
4 Ce 0.000 0.337 0.139 (multiplicity 4)
5 Ce 0.000 0.500 0.347 (multiplicity 2)
6 Ge 0.000 0.500 0.895 (multiplicity 2)
7 Ge 0.211 0.264 0.433 (multiplicity 8)
8 As 0.000 0.000 0.701 (multiplicity 2)

***

Entry 3:
Ce2GeAs | PBE | relaxed

Computed properties:
The value obtained for the calculated density is 6.53 Mg/m³. The electronic total energy comes out at -6.17 eV/atom. The calculation puts the density of states at the Fermi level at 21.9 states/eV per cell. The polymorph energy (0 for the lowest one) is 0.155 eV/atom. Its energy of formation is -886 meV per atom.

Cell lengths 4.1640, 4.1640, 21.7209 Å; angles 90.00, 90.00, 120.00 degrees
Space group R3m (No. 160, hexagonal axes)
One atom of each set of equivalent atoms:
1 Ce 0.0000 0.0000 0.0000 (multiplicity 3)
2 Ce 0.0000 0.0000 0.1716 (multiplicity 3)
3 Ge 0.0000 0.0000 0.7539 (multiplicity 3)
4 As 0.0000 0.0000 0.5838 (multiplicity 3)